# ErPuInOs (GGA-PBE, optimized geometry)
# Density of states at the Fermi level: 32.3 states/eV per cell
# Energy: -8.27 eV/atom
# Formation enthalpy at 0 K: -0.06 eV/atom
# ΔE to the lowest computed polymorph: 0.75 eV per formula unit
data_ErPuInOs
_chemical_formula_sum 'Er4 Pu4 In4 Os4'
_space_group_name_H-M_alt 'F -4 3 m'
_space_group_IT_number 216
_space_group_name_Hall 'F -4 2 3'
_cell_length_a 7.100
_cell_length_b 7.100
_cell_length_c 7.100
_cell_angle_alpha 90.00
_cell_angle_beta 90.00
_cell_angle_gamma 90.00
loop_
_atom_site_label
_atom_site_type_symbol
_atom_site_fract_x
_atom_site_fract_y
_atom_site_fract_z
Er1 Er 0.000 0.000 0.000
Pu1 Pu 0.000 0.000 0.500
In1 In 0.250 0.250 0.250
Os1 Os 0.250 0.250 0.750

***

# KBe2Hg (GGA-PBE, optimized geometry)
# Density of states at the Fermi level: 1.9 states/eV per cell
# Energy: -1.18 eV/atom
# Formation enthalpy at 0 K: 1.04 eV/atom
data_KBe2Hg
_chemical_formula_sum 'K1 Be2 Hg1'
_space_group_name_H-M_alt 'P 4/m m m'
_space_group_IT_number 123
_space_group_name_Hall '-P 4 2'
_cell_length_a 4.455
_cell_length_b 4.455
_cell_length_c 4.433
_cell_angle_alpha 90.00
_cell_angle_beta 90.00
_cell_angle_gamma 90.00
loop_
_atom_site_label
_atom_site_type_symbol
_atom_site_fract_x
_atom_site_fract_y
_atom_site_fract_z
K1 K 0.000 0.000 0.000
Be1 Be 0.000 0.500 0.500
Hg1 Hg 0.500 0.500 0.000

***

# TeRh4Pb (GGA-PBE, optimized geometry)
# Density of states at the Fermi level: 41.4 states/eV per cell
# Energy: -5.80 eV/atom
# Raw formation energy: 0.2426 eV per atom
data_TeRh4Pb
_chemical_formula_sum 'Te4 Rh16 Pb4'
_space_group_name_H-M_alt 'F -4 3 m'
_space_group_IT_number 216
_space_group_name_Hall 'F -4 2 3'
_cell_length_a 7.561
_cell_length_b 7.561
_cell_length_c 7.561
_cell_angle_alpha 90.00
_cell_angle_beta 90.00
_cell_angle_gamma 90.00
loop_
_atom_site_label
_atom_site_type_symbol
_atom_site_fract_x
_atom_site_fract_y
_atom_site_fract_z
Te1 Te 0.000 0.000 0.000
Rh1 Rh 0.125 0.125 0.375
Pb1 Pb 0.250 0.250 0.750

***

# CdGa2Ag (GGA-PBE, optimized geometry)
# Density of states at the Fermi level: 1.4 states/eV per cell
# Energy: -2.41 eV/atom
# Formation enthalpy at 0 K: 0.05 eV/atom
data_CdGa2Ag
_chemical_formula_sum 'Cd1 Ga2 Ag1'
_space_group_name_H-M_alt 'P -3 m 1'
_space_group_IT_number 164
_space_group_name_Hall '-P 3 2"'
_cell_length_a 3.0481
_cell_length_b 3.0481
_cell_length_c 9.6370
_cell_angle_alpha 90.00
_cell_angle_beta 90.00
_cell_angle_gamma 120.00
loop_
_atom_site_label
_atom_site_type_symbol
_atom_site_fract_x
_atom_site_fract_y
_atom_site_fract_z
Cd1 Cd 0.0000 0.0000 0.0000
Ga1 Ga 0.3333 0.6667 0.7365
Ag1 Ag 0.0000 0.0000 0.5000

***

# BaFe2Mo2 (GGA-PBE, optimized geometry)
# Density of states at the Fermi level: 11.4 states/eV per cell
# Energy: -7.38 eV/atom
# Formation enthalpy at 0 K: 0.72 eV/atom
# ΔE to the lowest computed polymorph: 0.00 eV per formula unit
data_BaFe2Mo2
_chemical_formula_sum 'Ba2 Fe4 Mo4'
_space_group_name_H-M_alt 'I 4/m m m'
_space_group_IT_number 139
_space_group_name_Hall '-I 4 2'
_cell_length_a 4.275
_cell_length_b 4.275
_cell_length_c 10.482
_cell_angle_alpha 90.00
_cell_angle_beta 90.00
_cell_angle_gamma 90.00
loop_
_atom_site_label
_atom_site_type_symbol
_atom_site_fract_x
_atom_site_fract_y
_atom_site_fract_z
Ba1 Ba 0.000 0.000 0.000
Fe1 Fe 0.000 0.500 0.250
Mo1 Mo 0.000 0.000 0.358

***

# SrWBr (GGA-PBE, optimized geometry)
# Energy: -4.21 eV/atom
# ΔE to the lowest computed polymorph: 1.31 eV per formula unit
# Raw formation energy: 1.2295 eV per atom
data_SrWBr
_chemical_formula_sum 'Sr4 W4 Br4'
_space_group_name_H-M_alt 'F -4 3 m'
_space_group_IT_number 216
_space_group_name_Hall 'F -4 2 3'
_cell_length_a 7.764
_cell_length_b 7.764
_cell_length_c 7.764
_cell_angle_alpha 90.00
_cell_angle_beta 90.00
_cell_angle_gamma 90.00
loop_
_atom_site_label
_atom_site_type_symbol
_atom_site_fract_x
_atom_site_fract_y
_atom_site_fract_z
Sr1 Sr 0.000 0.000 0.000
W1 W 0.250 0.250 0.250
Br1 Br 0.250 0.250 0.750

***

# Li2Mg9Al (GGA-PBE, optimized geometry)
# Density of states at the Fermi level: 3.6 states/eV per cell
# Energy: -1.77 eV/atom
# Formation enthalpy at 0 K: 0.05 eV/atom
data_Li2Mg9Al
_chemical_formula_sum 'Li2 Mg9 Al1'
_space_group_name_H-M_alt 'P -1'
_space_group_IT_number 2
_cell_length_a 5.242
_cell_length_b 7.455
_cell_length_c 7.693
_cell_angle_alpha 74.89
_cell_angle_beta 78.36
_cell_angle_gamma 69.90
loop_
_space_group_symop_operation_xyz
'x,y,z'
'-x,-y,-z'
loop_
_atom_site_label
_atom_site_type_symbol
_atom_site_fract_x
_atom_site_fract_y
_atom_site_fract_z
Li1 Li 0.240 0.439 0.346
Mg1 Mg 0.000 0.500 0.000
Mg2 Mg 0.023 0.867 0.187
Mg3 Mg 0.111 0.781 0.617
Mg4 Mg 0.415 0.322 0.695
Mg5 Mg 0.458 0.147 0.114
Al1 Al 0.500 0.000 0.500

***

# K2InOs (GGA-PBE, optimized geometry)
# Density of states at the Fermi level: 10.2 states/eV per cell
# Energy: -3.00 eV/atom
# Formation enthalpy at 0 K: 1.04 eV/atom
data_K2InOs
_chemical_formula_sum 'K4 In2 Os2'
_space_group_name_H-M_alt 'I -4 m 2'
_space_group_IT_number 119
_space_group_name_Hall 'I -4 -2'
_cell_length_a 5.219
_cell_length_b 5.219
_cell_length_c 7.370
_cell_angle_alpha 90.00
_cell_angle_beta 90.00
_cell_angle_gamma 90.00
loop_
_atom_site_label
_atom_site_type_symbol
_atom_site_fract_x
_atom_site_fract_y
_atom_site_fract_z
K1 K 0.000 0.000 0.000
K2 K 0.000 0.500 0.250
In1 In 0.000 0.500 0.750
Os1 Os 0.000 0.000 0.500

***

# V12ReAu3 (GGA-PBE, optimized geometry)
# Density of states at the Fermi level: 22.9 states/eV per cell
# Energy: -8.32 eV/atom
# Formation enthalpy at 0 K: -0.09 eV/atom
data_V12ReAu3
_chemical_formula_sum 'V12 Re1 Au3'
_space_group_name_H-M_alt 'P m m m'
_space_group_IT_number 47
_cell_length_a 4.862
_cell_length_b 4.868
_cell_length_c 9.700
_cell_angle_alpha 90.00
_cell_angle_beta 90.00
_cell_angle_gamma 90.00
loop_
_space_group_symop_operation_xyz
'x,y,z'
'-x,-y,-z'
'-x,-y,z'
'x,y,-z'
'x,-y,-z'
'-x,y,z'
'-x,y,-z'
'x,-y,z'
loop_
_atom_site_label
_atom_site_type_symbol
_atom_site_fract_x
_atom_site_fract_y
_atom_site_fract_z
V1 V 0.000 0.000 0.122
V2 V 0.000 0.000 0.376
V3 V 0.245 0.500 0.243
V4 V 0.500 0.248 0.500
V5 V 0.500 0.256 0.000
Re1 Re 0.000 0.500 0.000
Au1 Au 0.000 0.500 0.500
Au2 Au 0.500 0.000 0.250

***

# In3FeSi (GGA-PBE, optimized geometry)
# Density of states at the Fermi level: 9.8 states/eV per cell
# Energy: -3.46 eV/atom
# ΔE to the lowest computed polymorph: 1.89 eV per formula unit
# Raw formation energy: 0.9636 eV per atom
data_In3FeSi
_chemical_formula_sum 'In3 Fe1 Si1'
_space_group_name_H-M_alt 'P m -3 m'
_space_group_IT_number 221
_space_group_name_Hall '-P 4 2 3'
_cell_length_a 5.180
_cell_length_b 5.180
_cell_length_c 5.180
_cell_angle_alpha 90.00
_cell_angle_beta 90.00
_cell_angle_gamma 90.00
loop_
_atom_site_label
_atom_site_type_symbol
_atom_site_fract_x
_atom_site_fract_y
_atom_site_fract_z
In1 In 0.000 0.000 0.500
Fe1 Fe 0.500 0.500 0.500
Si1 Si 0.000 0.000 0.000

***

# PmNpO2 (GGA-PBE, optimized geometry)
# Density of states at the Fermi level: 13.7 states/eV per cell
# Energy: -9.36 eV/atom
# ΔE to the lowest computed polymorph: 0.00 eV per formula unit
# Raw formation energy: -2.4576 eV per atom
data_PmNpO2
_chemical_formula_sum 'Pm3 Np3 O6'
_space_group_name_H-M_alt 'R -3 m'
_space_group_IT_number 166
_space_group_name_Hall '-R 3 2"'
_cell_length_a 3.7079
_cell_length_b 3.7079
_cell_length_c 19.6615
_cell_angle_alpha 90.00
_cell_angle_beta 90.00
_cell_angle_gamma 120.00
loop_
_atom_site_label
_atom_site_type_symbol
_atom_site_fract_x
_atom_site_fract_y
_atom_site_fract_z
Pm1 Pm 0.0000 0.0000 0.0000
Np1 Np 0.0000 0.0000 0.5000
O1 O 0.0000 0.0000 0.3888

***

# Zr2CoP (GGA-PBE, optimized geometry)
# Density of states at the Fermi level: 3.0 states/eV per cell
# Energy: -8.00 eV/atom
# Formation enthalpy at 0 K: -0.60 eV/atom
# ΔE to the lowest computed polymorph: 1.34 eV per formula unit
data_Zr2CoP
_chemical_formula_sum 'Zr2 Co1 P1'
_space_group_name_H-M_alt 'P 4/m m m'
_space_group_IT_number 123
_space_group_name_Hall '-P 4 2'
_cell_length_a 3.690
_cell_length_b 3.690
_cell_length_c 5.353
_cell_angle_alpha 90.00
_cell_angle_beta 90.00
_cell_angle_gamma 90.00
loop_
_atom_site_label
_atom_site_type_symbol
_atom_site_fract_x
_atom_site_fract_y
_atom_site_fract_z
Zr1 Zr 0.000 0.000 0.000
Zr2 Zr 0.500 0.500 0.500
Co1 Co 0.000 0.000 0.500
P1 P 0.500 0.500 0.000

***

# SmYScTl (GGA-PBE, optimized geometry)
# Density of states at the Fermi level: 4.9 states/eV per cell
# Energy: -5.15 eV/atom
# Formation enthalpy at 0 K: -0.18 eV/atom
# ΔE to the lowest computed polymorph: 0.00 eV per formula unit
data_SmYScTl
_chemical_formula_sum 'Sm1 Y1 Sc1 Tl1'
_space_group_name_H-M_alt 'P m m m'
_space_group_IT_number 47
_cell_length_a 4.759
_cell_length_b 4.774
_cell_length_c 4.844
_cell_angle_alpha 90.00
_cell_angle_beta 90.00
_cell_angle_gamma 90.00
loop_
_space_group_symop_operation_xyz
'x,y,z'
'-x,-y,-z'
'-x,-y,z'
'x,y,-z'
'x,-y,-z'
'-x,y,z'
'-x,y,-z'
'x,-y,z'
loop_
_atom_site_label
_atom_site_type_symbol
_atom_site_fract_x
_atom_site_fract_y
_atom_site_fract_z
Sm1 Sm 0.000 0.000 0.000
Y1 Y 0.000 0.500 0.500
Sc1 Sc 0.500 0.500 0.000
Tl1 Tl 0.500 0.000 0.500

***

# CuReS3 (GGA-PBE, optimized geometry)
# Density of states at the Fermi level: 4.4 states/eV per cell
# Energy: -5.19 eV/atom
# ΔE to the lowest computed polymorph: 3.85 eV per formula unit
# Raw formation energy: 0.6003 eV per atom
data_CuReS3
_chemical_formula_sum 'Cu1 Re1 S3'
_space_group_name_H-M_alt 'P m -3 m'
_space_group_IT_number 221
_space_group_name_Hall '-P 4 2 3'
_cell_length_a 4.622
_cell_length_b 4.622
_cell_length_c 4.622
_cell_angle_alpha 90.00
_cell_angle_beta 90.00
_cell_angle_gamma 90.00
loop_
_atom_site_label
_atom_site_type_symbol
_atom_site_fract_x
_atom_site_fract_y
_atom_site_fract_z
Cu1 Cu 0.000 0.000 0.000
Re1 Re 0.500 0.500 0.500
S1 S 0.000 0.500 0.500